Record 1
TiNi3Se | the Alexandria database | GGA-PBEsol | optimized geometry; calculated volume = 79.4 Å³/cell; symmetry = Pm-3m; uncorrected formation energy = 997 meV/atom; density of states at the Fermi level = 2.9 states/eV/cell
1.0
-2.892 2.296 -2.198
0.923 -2.237 -3.552
-3.042 -2.863 1.012
Ni Se Ti
3 1 1
Direct
0.000 0.500 0.000
0.000 0.000 0.500
0.500 0.000 0.000
0.500 0.500 0.500
0.000 0.000 0.000

***

Record 2
ZrSc2In | the Alexandria database | GGA-PBEsol | optimized geometry; calculated volume = 88.5 Å³/cell; symmetry = P4/mmm; ΔH_f (0 K) = -0.28 eV per atom; density of states at the Fermi level = 3.6 states/eV/cell
1.0
3.268 0.000 0.000
0.000 3.268 0.000
0.000 0.000 8.289
Sc Zr In
2 1 1
Direct
0.000 0.000 0.744
0.000 0.000 0.256
0.500 0.500 0.000
0.500 0.500 0.500

***

Record 3
LaMnRh3 | the Alexandria database | GGA-PBEsol | optimized geometry; calculated volume = 108.9 Å³/cell; symmetry = Pm-3m; ΔH_f (0 K) = 1.32 eV per atom; density of states at the Fermi level = 2.2 states/eV/cell
1.0
4.775 0.000 0.000
0.000 4.775 0.000
0.000 0.000 4.775
Mn Rh La
1 3 1
Direct
0.500 0.500 0.500
0.000 0.500 0.000
0.000 0.000 0.500
0.500 0.000 0.000
0.000 0.000 0.000

***

Record 4
Sr2TlInI | the Alexandria database | GGA-PBEsol | optimized geometry; calculated volume = 221.2 Å³/cell; symmetry = P4/mmm; uncorrected formation energy = -326 meV/atom; density of states at the Fermi level = 2.4 states/eV/cell
1.0
-1.046 5.350 0.330
-3.766 -0.421 -5.114
-4.984 -1.207 3.770
I Sr Tl In
1 2 1 1
Direct
0.500 0.500 0.500
0.000 0.000 0.500
0.000 0.500 0.000
0.500 0.000 0.000
0.000 0.000 0.000

***

Record 5
La2CeSi2S8I | the Alexandria database | GGA-PBEsol | optimized geometry; calculated volume = 664.5 Å³/cell; symmetry = C2/c; uncorrected formation energy = -1516 meV/atom; density of states at the Fermi level = 17.0 states/eV/cell
1.0
-5.451 -5.085 2.503
0.930 0.782 -8.736
7.656 -7.477 1.483
La Ce Si S I
4 2 4 16 2
Direct
0.077 0.396 0.680
0.682 0.604 0.820
0.923 0.604 0.320
0.318 0.396 0.180
0.405 0.000 0.750
0.595 0.000 0.250
0.695 0.318 0.030
0.377 0.682 0.470
0.305 0.682 0.970
0.623 0.318 0.530
0.889 0.289 0.149
0.600 0.711 0.351
0.111 0.711 0.851
0.400 0.289 0.649
0.412 0.132 0.044
0.280 0.868 0.456
0.588 0.868 0.956
0.720 0.132 0.544
0.751 0.297 0.839
0.454 0.703 0.661
0.249 0.703 0.161
0.546 0.297 0.339
0.713 0.566 0.086
0.147 0.434 0.414
0.287 0.434 0.914
0.853 0.566 0.586
0.012 0.000 0.250
0.988 0.000 0.750

***

Record 6
HgSb2Te | the Alexandria database | GGA-PBEsol | optimized geometry; calculated volume = 105.3 Å³/cell; symmetry = R3m; uncorrected formation energy = 214 meV/atom; distance to the lowest polymorph of the same formula = 222 meV/atom; density of states at the Fermi level = 2.2 states/eV/cell
1.0
-2.848 0.080 -1.569
-0.805 -2.409 -2.033
-6.163 -6.454 7.485
Hg Sb Te
1 2 1
Direct
0.252 0.252 0.244
0.000 0.000 0.999
0.746 0.746 0.761
0.501 0.501 0.496

***

Please write out number 6 again, unchanged.
HgSb2Te | the Alexandria database | GGA-PBEsol | optimized geometry; calculated volume = 105.3 Å³/cell; symmetry = R3m; uncorrected formation energy = 214 meV/atom; distance to the lowest polymorph of the same formula = 222 meV/atom; density of states at the Fermi level = 2.2 states/eV/cell
1.0
-2.848 0.080 -1.569
-0.805 -2.409 -2.033
-6.163 -6.454 7.485
Hg Sb Te
1 2 1
Direct
0.252 0.252 0.244
0.000 0.000 0.999
0.746 0.746 0.761
0.501 0.501 0.496